[1]
# NdHo2TmSc | Alexandria via LeMat-Bulk | GGA-PBE | optimized geometry
data_NdHo2TmSc
_chemical_formula_sum 'Nd2 Ho4 Tm2 Sc2'
_space_group_name_H-M_alt 'P 1'
_space_group_IT_number 1
_space_group_name_Hall 'P 1'
_cell_length_a 6.3121
_cell_length_b 6.3146
_cell_length_c 8.5715
_cell_angle_alpha 111.61
_cell_angle_beta 90.00
_cell_angle_gamma 90.00
loop_
_atom_site_label
_atom_site_fract_x
_atom_site_fract_y
_atom_site_fract_z
Tm1 0.2500 0.2498 0.4995
Tm2 0.7500 0.7502 0.5005
Ho1 0.0000 0.2483 0.0000
Ho2 0.0000 0.7517 0.0000
Ho3 0.5000 0.7517 0.0000
Ho4 0.5000 0.2483 0.0000
Nd1 0.2500 0.6619 0.3239
Nd2 0.7500 0.3381 0.6761
Sc1 0.2500 0.8461 0.6922
Sc2 0.7500 0.1539 0.3078
# DFT total energy (eV per atom): -4.57
# Space-group type: Cmcm, No. 63
# Density of states at the Fermi level (states/eV/atom): 1.57
# Energy of formation (eV per atom): 0.3744



[2]
# LaAsSe2Cl | Alexandria via LeMat-Bulk | GGA-PBE | optimized geometry
data_LaAsSe2Cl
_chemical_formula_sum 'La1 As1 Se2 Cl1'
_space_group_name_H-M_alt 'P 1'
_space_group_IT_number 1
_space_group_name_Hall 'P 1'
_cell_length_a 5.7501
_cell_length_b 5.7501
_cell_length_c 6.1440
_cell_angle_alpha 90.00
_cell_angle_beta 90.00
_cell_angle_gamma 90.00
loop_
_atom_site_label
_atom_site_fract_x
_atom_site_fract_y
_atom_site_fract_z
As1 0.0000 0.0000 0.5000
Cl1 0.5000 0.5000 0.5000
Se1 0.5000 0.0000 0.0000
Se2 0.0000 0.5000 0.0000
La1 0.0000 0.0000 0.0000
# DFT total energy (eV per atom): -3.59
# Space-group type: P4/mmm, No. 123
# Density of states at the Fermi level (states/eV/atom): 1.69
# E above lowest polymorph (kcal/mol of atoms): 7.511
# Formation energy (no corrections) (meV per atom): 88



[3]
# AcNpAuO6 | Alexandria via LeMat-Bulk | GGA-PBE | optimized geometry
data_AcNpAuO6
_chemical_formula_sum 'Ac2 Np2 Au2 O12'
_space_group_name_H-M_alt 'P 1'
_space_group_IT_number 1
_space_group_name_Hall 'P 1'
_cell_length_a 6.1902
_cell_length_b 6.1902
_cell_length_c 8.4674
_cell_angle_alpha 90.00
_cell_angle_beta 90.00
_cell_angle_gamma 120.00
loop_
_atom_site_label
_atom_site_fract_x
_atom_site_fract_y
_atom_site_fract_z
O1 0.6147 0.9396 0.8761
O2 0.0604 0.3853 0.6239
O3 0.3853 0.0604 0.1239
O4 0.6751 0.6147 0.1239
O5 0.6147 0.6751 0.6239
O6 0.9396 0.3249 0.1239
O7 0.9396 0.6147 0.3761
O8 0.3249 0.3853 0.8761
O9 0.0604 0.6751 0.8761
O10 0.3249 0.9396 0.6239
O11 0.3853 0.3249 0.3761
O12 0.6751 0.0604 0.3761
Ac1 0.3333 0.6667 0.2500
Ac2 0.6667 0.3333 0.7500
Np1 0.3333 0.6667 0.7500
Np2 0.6667 0.3333 0.2500
Au1 0.0000 0.0000 0.0000
Au2 0.0000 0.0000 0.5000
# DFT total energy (eV per atom): -7.57
# Space-group type: P-31c, No. 163
# Density of states at the Fermi level (states/eV/atom): 0.70
# Formation energy (no corrections) (meV per atom): -2004



[4]
# Ba2ScTlBi | Alexandria via LeMat-Bulk | GGA-PBE | optimized geometry
data_Ba2ScTlBi
_chemical_formula_sum 'Ba2 Sc1 Tl1 Bi1'
_space_group_name_H-M_alt 'P 1'
_space_group_IT_number 1
_space_group_name_Hall 'P 1'
_cell_length_a 6.7267
_cell_length_b 5.9659
_cell_length_c 6.7267
_cell_angle_alpha 90.00
_cell_angle_beta 90.00
_cell_angle_gamma 90.00
loop_
_atom_site_label
_atom_site_fract_x
_atom_site_fract_y
_atom_site_fract_z
Tl1 0.0000 0.5000 0.0000
Ba1 0.5000 0.0000 0.0000
Ba2 0.0000 0.0000 0.5000
Bi1 0.0000 0.0000 0.0000
Sc1 0.5000 0.5000 0.5000
# DFT total energy (eV per atom): -2.95
# Space-group type: P4/mmm, No. 123
# Density of states at the Fermi level (states/eV/atom): 1.83
# Energy of formation (eV per atom): 0.3329



[5]
# SrVPt2C | Alexandria via LeMat-Bulk | GGA-PBE | optimized geometry
data_SrVPt2C
_chemical_formula_sum 'Sr1 V1 Pt2 C1'
_space_group_name_H-M_alt 'P 1'
_space_group_IT_number 1
_space_group_name_Hall 'P 1'
_cell_length_a 4.1737
_cell_length_b 4.9903
_cell_length_c 4.1737
_cell_angle_alpha 90.00
_cell_angle_beta 90.00
_cell_angle_gamma 90.00
loop_
_atom_site_label
_atom_site_fract_x
_atom_site_fract_y
_atom_site_fract_z
Sr1 0.0000 0.5000 0.0000
Pt1 0.0000 0.0000 0.5000
Pt2 0.5000 0.0000 0.0000
V1 0.5000 0.5000 0.5000
C1 0.0000 0.0000 0.0000
# DFT total energy (eV per atom): -5.71
# Space-group type: P4/mmm, No. 123
# Density of states at the Fermi level (states/eV/atom): 1.46
# Energy of formation (eV per atom): 0.7136



[6]
# YMgCu3 | Alexandria via LeMat-Bulk | GGA-PBE | optimized geometry
data_YMgCu3
_chemical_formula_sum 'Y2 Mg2 Cu6'
_space_group_name_H-M_alt 'P 1'
_space_group_IT_number 1
_space_group_name_Hall 'P 1'
_cell_length_a 6.2039
_cell_length_b 6.2039
_cell_length_c 5.4797
_cell_angle_alpha 90.00
_cell_angle_beta 90.00
_cell_angle_gamma 120.00
loop_
_atom_site_label
_atom_site_fract_x
_atom_site_fract_y
_atom_site_fract_z
Mg1 0.0000 0.0000 0.5000
Mg2 0.0000 0.0000 0.0000
Cu1 0.7957 0.5914 0.2500
Cu2 0.5914 0.7957 0.7500
Cu3 0.7957 0.2043 0.2500
Cu4 0.2043 0.4086 0.7500
Cu5 0.2043 0.7957 0.7500
Cu6 0.4086 0.2043 0.2500
Y1 0.6667 0.3333 0.7500
Y2 0.3333 0.6667 0.2500
# DFT total energy (eV per atom): -4.11
# Space-group type: P6_3/mmc, No. 194
# Density of states at the Fermi level (states/eV/atom): 0.31
# Energy of formation (eV per atom): -0.0423
# E above lowest polymorph (kcal/mol of atoms): 0.306



[7]
# RhS2Cl | Alexandria via LeMat-Bulk | GGA-PBE | optimized geometry
data_RhS2Cl
_chemical_formula_sum 'Rh1 S2 Cl1'
_space_group_name_H-M_alt 'P 1'
_space_group_IT_number 1
_space_group_name_Hall 'P 1'
_cell_length_a 7.2410
_cell_length_b 7.2410
_cell_length_c 7.2410
_cell_angle_alpha 29.10
_cell_angle_beta 29.10
_cell_angle_gamma 29.10
loop_
_atom_site_label
_atom_site_fract_x
_atom_site_fract_y
_atom_site_fract_z
S1 0.1126 0.1126 0.1126
S2 0.8874 0.8874 0.8874
Cl1 0.0000 0.0000 0.0000
Rh1 0.5000 0.5000 0.5000
# DFT total energy (eV per atom): -4.67
# Space-group type: R-3m, No. 166
# Density of states at the Fermi level (states/eV/atom): 0.00
# E above lowest polymorph (kcal/mol of atoms): 0.000
# Formation energy (no corrections) (meV per atom): -311



[8]
# InPtRh2 | Alexandria via LeMat-Bulk | GGA-PBE | optimized geometry
data_InPtRh2
_chemical_formula_sum 'In1 Pt1 Rh2'
_space_group_name_H-M_alt 'P 1'
_space_group_IT_number 1
_space_group_name_Hall 'P 1'
_cell_length_a 4.5060
_cell_length_b 4.5060
_cell_length_c 4.5060
_cell_angle_alpha 60.00
_cell_angle_beta 60.00
_cell_angle_gamma 60.00
loop_
_atom_site_label
_atom_site_fract_x
_atom_site_fract_y
_atom_site_fract_z
Rh1 0.0000 0.0000 0.0000
Rh2 0.2500 0.2500 0.2500
Pt1 0.7500 0.7500 0.7500
In1 0.5000 0.5000 0.5000
# DFT total energy (eV per atom): -5.95
# Space-group type: F-43m, No. 216
# Density of states at the Fermi level (states/eV/atom): 1.85
# Energy of formation (eV per atom): -0.0767



[9]
# Nd8InGe5 | Alexandria via LeMat-Bulk | GGA-PBE | optimized geometry
data_Nd8InGe5
_chemical_formula_sum 'Nd8 In1 Ge5'
_space_group_name_H-M_alt 'P 1'
_space_group_IT_number 1
_space_group_name_Hall 'P 1'
_cell_length_a 8.0081
_cell_length_b 8.0081
_cell_length_c 8.0081
_cell_angle_alpha 109.40
_cell_angle_beta 109.62
_cell_angle_gamma 109.40
loop_
_atom_site_label
_atom_site_fract_x
_atom_site_fract_y
_atom_site_fract_z
Nd1 0.6333 0.3813 0.8762
Nd2 0.7480 0.2429 0.3667
Nd3 0.6368 0.8933 0.8757
Nd4 0.1243 0.7611 0.0176
Nd5 0.4949 0.6187 0.2520
Nd6 0.9824 0.1067 0.7435
Nd7 0.2565 0.2389 0.3632
Nd8 0.1238 0.7571 0.5051
Ge1 0.5000 0.0000 0.5000
Ge2 0.3736 0.1246 0.9946
Ge3 0.8700 0.8754 0.2490
Ge4 0.7510 0.6211 0.6264
Ge5 0.0054 0.3789 0.1300
In1 0.2500 0.5000 0.7500
# DFT total energy (eV per atom): -5.29
# Space-group type: I-4, No. 82
# Density of states at the Fermi level (states/eV/atom): 0.63
# Energy of formation (eV per atom): -0.7193



[10]
# Be2CdTe | Alexandria via LeMat-Bulk | GGA-PBE | optimized geometry
data_Be2CdTe
_chemical_formula_sum 'Be2 Cd1 Te1'
_space_group_name_H-M_alt 'P 1'
_space_group_IT_number 1
_space_group_name_Hall 'P 1'
_cell_length_a 3.6056
_cell_length_b 3.6056
_cell_length_c 7.0664
_cell_angle_alpha 90.00
_cell_angle_beta 90.00
_cell_angle_gamma 114.61
loop_
_atom_site_label
_atom_site_fract_x
_atom_site_fract_y
_atom_site_fract_z
Cd1 0.0000 0.0000 0.4103
Te1 0.5000 0.5000 0.8474
Be1 0.0000 0.0000 0.0489
Be2 0.5000 0.5000 0.1934
# DFT total energy (eV per atom): -2.38
# Space-group type: Cmm2, No. 35
# Density of states at the Fermi level (states/eV/atom): 0.53
# E above lowest polymorph (kcal/mol of atoms): 4.517
# Formation energy (no corrections) (meV per atom): 499



[11]
# Ce2AuI | Alexandria via LeMat-Bulk | GGA-PBE | optimized geometry
data_Ce2AuI
_chemical_formula_sum 'Ce2 Au1 I1'
_space_group_name_H-M_alt 'P 1'
_space_group_IT_number 1
_space_group_name_Hall 'P 1'
_cell_length_a 4.3789
_cell_length_b 4.3789
_cell_length_c 7.9373
_cell_angle_alpha 73.99
_cell_angle_beta 73.99
_cell_angle_gamma 60.00
loop_
_atom_site_label
_atom_site_fract_x
_atom_site_fract_y
_atom_site_fract_z
Ce1 0.2615 0.2615 0.2156
Ce2 0.7385 0.7385 0.7844
Au1 0.0000 0.0000 0.0000
I1 0.5000 0.5000 0.5000
# DFT total energy (eV per atom): -4.84
# Space-group type: R-3m, No. 166
# Density of states at the Fermi level (states/eV/atom): 3.67
# E above lowest polymorph (kcal/mol of atoms): 0.000
# Formation energy (no corrections) (meV per atom): -671



[12]
# AcMgZnIn2 | Alexandria via LeMat-Bulk | GGA-PBE | optimized geometry
data_AcMgZnIn2
_chemical_formula_sum 'Ac1 Mg1 Zn1 In2'
_space_group_name_H-M_alt 'P 1'
_space_group_IT_number 1
_space_group_name_Hall 'P 1'
_cell_length_a 4.6696
_cell_length_b 4.6696
_cell_length_c 6.8849
_cell_angle_alpha 109.82
_cell_angle_beta 109.82
_cell_angle_gamma 90.00
loop_
_atom_site_label
_atom_site_fract_x
_atom_site_fract_y
_atom_site_fract_z
In1 0.3822 0.3822 0.7643
In2 0.6178 0.6178 0.2357
Zn1 0.7500 0.2500 0.5000
Mg1 0.2500 0.7500 0.5000
Ac1 0.0000 0.0000 0.0000
# DFT total energy (eV per atom): -2.81
# Space-group type: I-4m2, No. 119
# Density of states at the Fermi level (states/eV/atom): 0.36
# Energy of formation (eV per atom): -0.3233



What did the sixth record say?
# YMgCu3 | Alexandria via LeMat-Bulk | GGA-PBE | optimized geometry
data_YMgCu3
_chemical_formula_sum 'Y2 Mg2 Cu6'
_space_group_name_H-M_alt 'P 1'
_space_group_IT_number 1
_space_group_name_Hall 'P 1'
_cell_length_a 6.2039
_cell_length_b 6.2039
_cell_length_c 5.4797
_cell_angle_alpha 90.00
_cell_angle_beta 90.00
_cell_angle_gamma 120.00
loop_
_atom_site_label
_atom_site_fract_x
_atom_site_fract_y
_atom_site_fract_z
Mg1 0.0000 0.0000 0.5000
Mg2 0.0000 0.0000 0.0000
Cu1 0.7957 0.5914 0.2500
Cu2 0.5914 0.7957 0.7500
Cu3 0.7957 0.2043 0.2500
Cu4 0.2043 0.4086 0.7500
Cu5 0.2043 0.7957 0.7500
Cu6 0.4086 0.2043 0.2500
Y1 0.6667 0.3333 0.7500
Y2 0.3333 0.6667 0.2500
# DFT total energy (eV per atom): -4.11
# Space-group type: P6_3/mmc, No. 194
# Density of states at the Fermi level (states/eV/atom): 0.31
# Energy of formation (eV per atom): -0.0423
# E above lowest polymorph (kcal/mol of atoms): 0.306